Record 1
# DyFeTcB2 (PBE, relaxed)
data_DyFeTcB2
_chemical_formula_sum 'Dy2 Fe2 Tc2 B4'
_cell_length_a 3.605
_cell_length_b 3.605
_cell_length_c 9.658
_cell_angle_alpha 90.00
_cell_angle_beta 90.00
_cell_angle_gamma 90.00
_symmetry_space_group_name_H-M 'I -4 m 2'
_symmetry_Int_Tables_number 119
_symmetry_space_group_name_Hall 'I -4 -2'
loop_
_atom_site_label
_atom_site_type_symbol
_atom_site_fract_x
_atom_site_fract_y
_atom_site_fract_z
Dy1 Dy 0.000 0.000 0.000
Fe1 Fe 0.000 0.500 0.250
Tc1 Tc 0.000 0.500 0.750
B1 B 0.000 0.000 0.394
# DOS at the Fermi energy (states/eV/atom): 0.5050
# E_form (eV/atom): -0.35
# DFT total energy (eV/f.u.): -38.52
# V (A^3/atom): 12.548



Record 2
# DyGaB (PBE, relaxed)
data_DyGaB
_chemical_formula_sum 'Dy4 Ga4 B4'
_cell_length_a 8.641
_cell_length_b 3.931
_cell_length_c 7.720
_cell_angle_alpha 90.00
_cell_angle_beta 118.41
_cell_angle_gamma 90.00
_symmetry_space_group_name_H-M 'C 1 2/m 1'
_symmetry_Int_Tables_number 12
_symmetry_space_group_name_Hall '-C 2y'
loop_
_atom_site_label
_atom_site_type_symbol
_atom_site_fract_x
_atom_site_fract_y
_atom_site_fract_z
Dy1 Dy 0.209 0.000 0.168
Ga1 Ga 0.108 0.500 0.404
B1 B 0.028 0.500 0.913
# DOS at the Fermi energy (states/eV/atom): 0.5217
# E_form (eV/atom): -0.26
# DFT total energy (eV/f.u.): -15.09
# V (A^3/atom): 19.218



Record 3
# DyGaBIr2 (PBE, relaxed)
data_DyGaBIr2
_chemical_formula_sum 'Dy4 Ga4 B4 Ir8'
_cell_length_a 3.994
_cell_length_b 11.269
_cell_length_c 7.374
_cell_angle_alpha 90.00
_cell_angle_beta 90.00
_cell_angle_gamma 90.00
_symmetry_space_group_name_H-M 'C m c m'
_symmetry_Int_Tables_number 63
_symmetry_space_group_name_Hall '-C 2c 2'
loop_
_atom_site_label
_atom_site_type_symbol
_atom_site_fract_x
_atom_site_fract_y
_atom_site_fract_z
Dy1 Dy 0.000 0.049 0.250
Ga1 Ga 0.000 0.233 0.750
B1 B 0.000 0.500 0.000
Ir1 Ir 0.000 0.334 0.060
# DOS at the Fermi energy (states/eV/atom): 0.5506
# E_form (eV/atom): -0.67
# DFT total energy (eV/f.u.): -35.36
# V (A^3/atom): 16.595



Record 4
# Dy3Ga2BIr3 (PBE, relaxed)
data_Dy3Ga2BIr3
_chemical_formula_sum 'Dy3 Ga2 B1 Ir3'
_cell_length_a 7.1297
_cell_length_b 7.1297
_cell_length_c 3.5909
_cell_angle_alpha 90.00
_cell_angle_beta 90.00
_cell_angle_gamma 120.00
_symmetry_space_group_name_H-M 'P -6 2 m'
_symmetry_Int_Tables_number 189
_symmetry_space_group_name_Hall 'P -6 -2'
loop_
_atom_site_label
_atom_site_type_symbol
_atom_site_fract_x
_atom_site_fract_y
_atom_site_fract_z
Dy1 Dy 0.0000 0.6184 0.0000
Ga1 Ga 0.3333 0.6667 0.5000
B1 B 0.0000 0.0000 0.0000
Ir1 Ir 0.0000 0.2251 0.5000
# DOS at the Fermi energy (states/eV/atom): 0.4187
# E_form (eV/atom): -0.67
# DFT total energy (eV/f.u.): -59.17
# V (A^3/atom): 17.564



E_form of number 3 (DyGaBIr2)? -0.67 eV/atom



What did the fourth record say?
# Dy3Ga2BIr3 (PBE, relaxed)
data_Dy3Ga2BIr3
_chemical_formula_sum 'Dy3 Ga2 B1 Ir3'
_cell_length_a 7.1297
_cell_length_b 7.1297
_cell_length_c 3.5909
_cell_angle_alpha 90.00
_cell_angle_beta 90.00
_cell_angle_gamma 120.00
_symmetry_space_group_name_H-M 'P -6 2 m'
_symmetry_Int_Tables_number 189
_symmetry_space_group_name_Hall 'P -6 -2'
loop_
_atom_site_label
_atom_site_type_symbol
_atom_site_fract_x
_atom_site_fract_y
_atom_site_fract_z
Dy1 Dy 0.0000 0.6184 0.0000
Ga1 Ga 0.3333 0.6667 0.5000
B1 B 0.0000 0.0000 0.0000
Ir1 Ir 0.0000 0.2251 0.5000
# DOS at the Fermi energy (states/eV/atom): 0.4187
# E_form (eV/atom): -0.67
# DFT total energy (eV/f.u.): -59.17
# V (A^3/atom): 17.564